This record from the Alexandria database describes an optimized crystal structure of LaBe4Ni. The functional is PBE.

It has space group F-43m (No. 216), with a = 6.7958 Å, b = 6.7958 Å, c = 6.7958 Å, α = 90.00°, β = 90.00° and γ = 90.00°. The distinct sites, in fractional coordinates, are La at (0.0000, 0.0000, 0.0000), Be at (0.1183, 0.1183, 0.3817) and Ni at (0.2500, 0.2500, 0.7500).

Its calculated density is 4.9 Mg/m³. For the calculated formation energy, the calculation gives 114.5 kJ/mol of formula units. The calculation puts the density of states at the Fermi level at 19.960 states/eV/cell. For the volume, the calculation gives 313.9 Å³/cell.

=====

This record from the Alexandria database describes an optimized crystal structure of BaLi2Hg2. The functional is PBE.

It has space group P4/mbm (No. 127), with a = 8.4111 Å, b = 8.4111 Å, c = 3.5621 Å, α = 90.00°, β = 90.00° and γ = 90.00°. The distinct sites, in fractional coordinates, are Ba at (0.0000, 0.0000, 0.0000), Li at (0.1162, 0.3838, 0.0000) and Hg at (0.1680, 0.6680, 0.5000).

Its calculated density is 7.3 Mg/m³. Its relative energy among the computed polymorphs is 0.40 eV per formula unit. For the calculated formation energy, the calculation gives -142.1 kJ/mol of formula units. The calculation puts the density of states at the Fermi level at 7.850 states/eV/cell. For the volume, the calculation gives 252.0 Å³/cell.

=====

This record from the Alexandria database describes an optimized crystal structure of AsPb4S5. The functional is PBE.

It has space group I4 (No. 79), with a = 9.2194 Å, b = 9.2194 Å, c = 6.0120 Å, α = 90.00°, β = 90.00° and γ = 90.00°. The distinct sites, in fractional coordinates, are As at (0.0000, 0.0000, 0.0000), Pb at (0.0989, 0.7047, 0.5112), S at (0.0000, 0.0000, 0.4596) and S at (0.0973, 0.7295, 0.0101).

Its calculated density is 6.9 Mg/m³. The calculation puts the raw formation energy at -346.1 meV/atom. The calculation puts the density of states at the Fermi level at 2.770 states/eV/cell. For the volume, the calculation gives 511.0 Å³/cell.